one:
The following is a DFT calculation (PBE) of crystalline AlCuAu5 at its relaxed geometry.

a = 4.7926 Å, b = 4.7926 Å, c = 10.8101 Å
α = 90.00°, β = 90.00°, γ = 80.69°
Closest atoms and distances in Å follow each position.
Sites, in units of the cell vectors:
Al 0.0000 0.0000 0.0000  10 Au 2.64-2.94
Al 0.0000 0.0000 0.5000  10 Au 2.64-2.94
Cu 0.3621 0.6379 0.7500  5 Au 2.59-2.70
Cu 0.6379 0.3621 0.2500  5 Au 2.59-2.70
Au 0.0548 0.9452 0.2500  1 Cu 2.59, 2 Al 2.72, 4 Au 2.84
Au 0.1640 0.4375 0.1103  2 Al 2.64-2.94, 1 Cu 2.70, 5 Au 2.84-2.93
Au 0.1640 0.4375 0.3897  2 Al 2.64-2.94, 1 Cu 2.70, 5 Au 2.84-2.93
Au 0.4375 0.1640 0.6103  2 Al 2.64-2.94, 1 Cu 2.70, 5 Au 2.84-2.93
Au 0.4375 0.1640 0.8897  2 Al 2.64-2.94, 1 Cu 2.70, 5 Au 2.84-2.93
Au 0.5625 0.8360 0.1103  2 Al 2.64-2.94, 1 Cu 2.70, 5 Au 2.84-2.93
Au 0.5625 0.8360 0.3897  2 Al 2.64-2.94, 1 Cu 2.70, 5 Au 2.84-2.93
Au 0.8360 0.5625 0.6103  2 Al 2.64-2.94, 1 Cu 2.70, 5 Au 2.84-2.93
Au 0.8360 0.5625 0.8897  2 Al 2.64-2.94, 1 Cu 2.70, 5 Au 2.84-2.93
Au 0.9452 0.0548 0.7500  1 Cu 2.59, 2 Al 2.72, 4 Au 2.84

Total magnetization: 0.000 μB/atom
Volume: 245.0 Å³/cell
Symmetry: Cmcm (63)
DOS(E_F): 0.316 states/eV per atom


two:
The following is a DFT calculation (PBE) of crystalline AlCuAu5 at its relaxed geometry.

a = 6.4765 Å, b = 6.4765 Å, c = 6.4765 Å
α = 131.04°, β = 88.61°, γ = 111.57°
Closest atoms and distances in Å follow each position.
Sites, in units of the cell vectors:
Al 0.0000 0.0000 0.0000  6 Au 2.62-2.70
Cu 0.6122 0.1122 0.5000  5 Au 2.46-2.51
Au 0.3194 0.0664 0.7470  1 Cu 2.51, 4 Au 2.65-2.79, 1 Al 2.69
Au 0.3194 0.5725 0.2530  1 Cu 2.51, 4 Au 2.65-2.79, 1 Al 2.69
Au 0.4279 0.1871 0.2408  1 Cu 2.46, 1 Al 2.62
Au 0.9462 0.1871 0.7592  1 Cu 2.46, 1 Al 2.62
Au 0.9542 0.4542 0.5000  1 Cu 2.49, 2 Al 2.70

Total magnetization: 0.000 μB/atom
Volume: 181.2 Å³/cell
Symmetry: Imm2 (44)
DOS(E_F): 0.362 states/eV per atom


Most stable: one


one:
The following is a DFT calculation (PBE) of crystalline Al2Cu8Au at its relaxed geometry.

a = 7.2731 Å, b = 7.2731 Å, c = 4.4650 Å
α = 107.59°, β = 107.59°, γ = 124.46°
Closest atoms and distances in Å follow each position.
Sites, in units of the cell vectors:
Al 0.1830 0.8170 0.0000  12 Cu 2.59-2.69
Al 0.8170 0.1830 0.0000  12 Cu 2.59-2.69
Cu 0.0082 0.0082 0.7610  2 Cu 2.21-2.26
Cu 0.1265 0.3998 0.7569  7 Cu 2.45-2.71, 3 Al 2.62-2.69
Cu 0.2999 0.7001 0.5000  6 Cu 2.50-2.71, 1 Au 2.58, 4 Al 2.59-2.69
Cu 0.3998 0.1265 0.7569  7 Cu 2.45-2.71, 3 Al 2.62-2.69
Cu 0.6002 0.8735 0.2431  7 Cu 2.45-2.71, 3 Al 2.62-2.69
Cu 0.7001 0.2999 0.5000  6 Cu 2.50-2.71, 1 Au 2.58, 4 Al 2.59-2.69
Cu 0.8735 0.6002 0.2431  7 Cu 2.45-2.71, 3 Al 2.62-2.69
Cu 0.9918 0.9918 0.2390  2 Cu 2.21-2.26
Au 0.5000 0.5000 0.5000  6 Cu 2.58-2.83

Total magnetization: 0.000 μB/atom
Volume: 148.2 Å³/cell
Symmetry: C2/m (12)
DOS(E_F): 0.300 states/eV per atom


two:
The following is a DFT calculation (PBE) of crystalline Al2Cu8Au at its relaxed geometry.

a = 6.9730 Å, b = 6.9730 Å, c = 5.9582 Å
α = 106.06°, β = 106.06°, γ = 31.10°
Closest atoms and distances in Å follow each position.
Sites, in units of the cell vectors:
Al 0.2234 0.2234 0.1510  10 Cu 2.54-2.73, 2 Al 2.82
Al 0.7766 0.7766 0.8490  10 Cu 2.54-2.73, 2 Al 2.82
Cu 0.0454 0.0454 0.2189  1 Al 2.54, 9 Cu 2.54-2.77, 2 Au 2.69
Cu 0.1432 0.1432 0.6973  3 Al 2.57-2.61, 7 Cu 2.60-2.77, 2 Au 2.70
Cu 0.3173 0.3173 0.5894  3 Al 2.55-2.58, 8 Cu 2.60-2.69, 1 Au 2.66
Cu 0.4066 0.4066 0.0379  3 Al 2.59-2.73, 8 Cu 2.60-2.67, 1 Au 2.68
Cu 0.5934 0.5934 0.9621  3 Al 2.59-2.73, 8 Cu 2.60-2.67, 1 Au 2.68
Cu 0.6827 0.6827 0.4106  3 Al 2.55-2.58, 8 Cu 2.60-2.69, 1 Au 2.66
Cu 0.8568 0.8568 0.3027  3 Al 2.57-2.61, 7 Cu 2.60-2.77, 2 Au 2.70
Cu 0.9546 0.9546 0.7811  1 Al 2.54, 9 Cu 2.54-2.77, 2 Au 2.69
Au 0.5000 0.5000 0.5000  12 Cu 2.66-2.70

Total magnetization: 0.000 μB/atom
Volume: 143.3 Å³/cell
Symmetry: C2/m (12)
DOS(E_F): 0.326 states/eV per atom


Most stable: two


one:
The following is a DFT calculation (PBE) of crystalline AlCu4Au3 at its relaxed geometry.

a = 8.5072 Å, b = 8.5072 Å, c = 4.0427 Å
α = 103.28°, β = 103.28°, γ = 24.30°
Closest atoms and distances in Å follow each position.
Sites, in units of the cell vectors:
Al 0.0000 0.0000 0.0000  8 Au 2.70-2.77, 4 Cu 2.94-2.96
Cu 0.1329 0.1329 0.6331  4 Cu 2.56-2.82, 6 Au 2.70-2.80
Cu 0.2541 0.2541 0.2535  8 Cu 2.56-2.82, 4 Au 2.68-2.76
Cu 0.7459 0.7459 0.7465  8 Cu 2.56-2.82, 4 Au 2.68-2.76
Cu 0.8671 0.8671 0.3669  4 Cu 2.56-2.82, 6 Au 2.70-2.80
Au 0.3692 0.3692 0.8683  8 Cu 2.68-2.76, 2 Al 2.77, 2 Au 2.91-2.94
Au 0.5000 0.5000 0.5000  4 Al 2.70, 4 Cu 2.80, 4 Au 2.91-2.94
Au 0.6308 0.6308 0.1317  8 Cu 2.68-2.76, 2 Al 2.77, 2 Au 2.91-2.94

Total magnetization: 0.000 μB/atom
Volume: 117.0 Å³/cell
Symmetry: C2/m (12)
DOS(E_F): 0.284 states/eV per atom


two:
The following is a DFT calculation (PBE) of crystalline AlCu4Au3 at its relaxed geometry.

a = 3.2127 Å, b = 3.2127 Å, c = 11.3337 Å
α = 90.00°, β = 90.00°, γ = 90.00°
Closest atoms and distances in Å follow each position.
Sites, in units of the cell vectors:
Al 0.0000 0.0000 0.0000  8 Cu 2.60, 2 Au 2.73
Cu 0.5000 0.5000 0.1123  1 Cu 2.55, 4 Al 2.60, 4 Au 2.70
Cu 0.5000 0.5000 0.3714  8 Au 2.70-2.71, 2 Cu 2.92-2.94
Cu 0.5000 0.5000 0.6286  8 Au 2.70-2.71, 2 Cu 2.92-2.94
Cu 0.5000 0.5000 0.8877  1 Cu 2.55, 4 Al 2.60, 4 Au 2.70
Au 0.0000 0.0000 0.2413  8 Cu 2.70-2.71, 1 Al 2.73, 1 Au 2.93
Au 0.0000 0.0000 0.5000  8 Cu 2.70, 2 Au 2.93
Au 0.0000 0.0000 0.7587  8 Cu 2.70-2.71, 1 Al 2.73, 1 Au 2.93

Total magnetization: 0.000 μB/atom
Volume: 117.0 Å³/cell
Symmetry: P4/mmm (123)
DOS(E_F): 0.264 states/eV per atom


Most stable: one